(1)
The following is a PBE calculation of a geometry-optimized CuC structure, from Alexandria.

```
CuC
1.0
3.210 0.000 0.000
0.000 8.162 0.000
0.000 0.000 5.356
Cu C
6 6
Cartesian
0.802 0.478 0.918
0.802 3.603 0.918
0.802 6.121 2.315
2.407 2.040 3.041
2.407 4.559 4.438
2.407 7.684 4.438
0.802 2.040 1.967
0.802 5.468 0.316
0.802 6.774 0.316
2.407 1.387 5.040
2.407 2.694 5.040
2.407 6.121 3.389
```

- ρ: 5.4 g/cm³
- Total moment: 0.00 μB per formula unit
- Space group: Pmmn, No. 59
- E: -5.557 eV/atom
- Formation enthalpy at 0 K: 1103 meV/atom
- E above lowest polymorph: 1.765 eV/f.u.

---

(2)
The following is a PBE calculation of a geometry-optimized AlFe2HPt structure, from Alexandria.

```
AlFe2HPt
1.0
3.659 0.000 0.000
0.000 3.659 0.000
0.000 0.000 4.098
Al Fe H Pt
1 2 1 1
Cartesian
0.000 0.000 0.000
0.000 1.829 2.049
1.829 0.000 2.049
1.829 1.829 2.049
1.829 1.829 0.000
```

- ρ: 10.1 g/cm³
- Total moment: 4.24 μB per formula unit
- Space group: P4/mmm, No. 123
- E: -6.304 eV/atom

---

(3)
The following is a PBE calculation of a geometry-optimized Nb2CI structure, from Alexandria.

```
Nb2CI
1.0
0.000 3.184 3.184
3.184 0.000 3.184
3.184 3.184 0.000
Nb C I
2 1 1
Cartesian
1.592 1.592 1.592
4.776 4.776 4.776
0.000 0.000 0.000
3.184 3.184 3.184
```

- ρ: 8.4 g/cm³
- Total moment: 0.76 μB per formula unit
- Space group: Fm-3m, No. 225
- E: -6.597 eV/atom
- Formation energy (no corrections): 1.132 eV per atom
- E above lowest polymorph: 2.365 eV/f.u.

---

(4)
The following is a PBE calculation of a geometry-optimized Sm8Hg2Bi structure, from Alexandria.

```
Sm8Hg2Bi
1.0
4.424 -7.312 0.000
4.424 7.312 0.000
-1.857 0.000 5.374
Sm Hg Bi
8 2 1
Cartesian
0.622 1.652 3.255
4.424 3.912 0.000
0.622 -1.652 3.255
3.174 0.000 1.081
3.816 0.000 4.294
6.368 1.652 2.120
4.424 -3.912 0.000
6.368 -1.652 2.120
3.495 2.787 2.687
3.495 -2.787 2.687
0.000 0.000 0.000
```

- ρ: 8.7 g/cm³
- Total moment: 0.00 μB per formula unit
- Space group: C2/m, No. 12
- E: -4.053 eV/atom
- Formation enthalpy at 0 K: -213 meV/atom

---

(5)
The following is a PBE calculation of a geometry-optimized HfAu structure, from Alexandria.

```
HfAu
1.0
5.508 0.000 0.000
0.000 5.508 0.000
0.000 0.000 5.659
Hf Au
4 4
Cartesian
1.113 1.113 0.000
1.641 3.867 2.830
3.867 1.641 2.830
4.395 4.395 0.000
1.070 1.070 2.830
1.683 3.824 0.000
3.824 1.683 0.000
4.437 4.437 2.830
```

- ρ: 14.5 g/cm³
- Total moment: 0.00 μB per formula unit
- Space group: P4_2/mnm, No. 136
- E: -6.816 eV/atom
- Formation enthalpy at 0 K: -201 meV/atom

---

(6)
The following is a PBE calculation of a geometry-optimized AcCuPO structure, from Alexandria.

```
AcCuPO
1.0
4.143 0.000 0.000
0.000 4.143 0.000
0.000 0.000 8.612
Ac Cu P O
2 2 2 2
Cartesian
1.036 1.036 1.322
3.107 3.107 7.290
1.036 3.107 4.306
3.107 1.036 4.306
1.036 1.036 5.466
3.107 3.107 3.145
1.036 3.107 0.000
3.107 1.036 0.000
```

- ρ: 7.6 g/cm³
- Total moment: 0.00 μB per formula unit
- Space group: P4/nmm, No. 129
- E: -6.379 eV/atom
- Formation energy (no corrections): -1.736 eV per atom

---

(7)
The following is a PBE calculation of a geometry-optimized SmCu2Si structure, from Alexandria.

```
SmCu2Si
1.0
3.958 0.000 0.000
0.000 3.958 0.000
0.000 0.000 9.161
Sm Cu Si
2 4 2
Cartesian
0.990 0.990 2.155
2.969 2.969 7.006
0.990 0.990 8.414
0.990 2.969 4.580
2.969 0.990 4.580
2.969 2.969 0.747
0.990 0.990 5.954
2.969 2.969 3.207
```

- ρ: 7.1 g/cm³
- Total moment: 0.00 μB per formula unit
- Space group: P4/nmm, No. 129
- E: -4.955 eV/atom
- Formation energy (no corrections): -0.371 eV per atom

---

(8)
The following is a PBE calculation of a geometry-optimized RbPaMnTe4 structure, from Alexandria.

```
RbPaMnTe4
1.0
7.236 0.000 0.000
0.000 7.129 0.000
-3.453 0.000 9.685
Rb Pa Mn Te
2 2 2 8
Cartesian
1.524 1.782 0.454
2.260 5.347 9.231
-0.180 1.782 5.355
3.963 5.347 4.331
0.548 5.347 3.286
3.235 1.782 6.400
-2.199 3.662 6.796
-2.199 7.032 6.796
2.561 5.347 1.616
1.253 5.347 5.782
2.530 1.782 3.904
1.222 1.782 8.070
5.982 0.098 2.889
5.982 3.467 2.889
```

- ρ: 5.9 g/cm³
- Total moment: 5.04 μB per formula unit
- Space group: P2_1/m, No. 11
- E: -5.283 eV/atom
- Formation energy (no corrections): -0.683 eV per atom